This record from Alexandria describes an optimized crystal structure of NaCaCo2Ge. The functional is PBE.

a b c (Å): 4.659 4.659 5.040
angles (deg): 90.00 90.00 90.00
Sites, in units of the cell vectors:
Na 0.000 0.000 0.000
Ca 0.000 0.000 0.500
Co 0.000 0.500 0.500
Co 0.500 0.000 0.500
Ge 0.500 0.500 0.000

Values from the calculation:
As for the calculated formation energy: 143.8 kJ per mole of atoms. As for the symmetry: P4/mmm, No. 123. The value obtained for the total DFT energy (no corrections) is -2.940 eV per atom. The total magnetization is 2.3 μB/f.u.

This record from Alexandria describes an optimized crystal structure of CaCoNi2Ge. The functional is PBE.

a b c (Å): 4.545 4.545 4.547
angles (deg): 90.00 90.00 90.00
Sites, in units of the cell vectors:
Ca 0.000 0.000 0.000
Co 0.000 0.000 0.500
Ni 0.000 0.500 0.000
Ni 0.500 0.000 0.000
Ge 0.500 0.500 0.500

Values from the calculation:
As for the calculated formation energy: 151.7 kJ per mole of atoms. As for the symmetry: P4/mmm, No. 123. The value obtained for the total DFT energy (no corrections) is -3.485 eV per atom. The total magnetization is 1.3 μB/f.u.